This record from Alexandria describes a geometry-optimized TlBiRhO6 structure. The functional is PBE.

Values from the calculation:
DOS(E_F) = 0.302 states/eV/atom
Final energy = -5.51 eV/atom
Raw formation energy = -0.70 eV per atom

a = 4.927 Å, b = 4.927 Å, c = 10.132 Å
α = 90.00°, β = 90.00°, γ = 90.00°
Positions (direct):
Tl  0.000  0.000  0.000
Tl  0.500  0.500  0.500
Bi  0.000  0.000  0.667
Bi  0.500  0.500  0.167
Rh  0.000  0.000  0.334
Rh  0.500  0.500  0.834
O  0.181  0.181  0.486
O  0.185  0.185  0.182
O  0.216  0.216  0.831
O  0.284  0.716  0.331
O  0.315  0.685  0.682
O  0.319  0.681  0.986
O  0.681  0.319  0.986
O  0.685  0.315  0.682
O  0.716  0.284  0.331
O  0.784  0.784  0.831
O  0.815  0.815  0.182
O  0.819  0.819  0.486

=====

This record from Alexandria describes a geometry-optimized TmBiRhO6 structure. The functional is PBE.

Values from the calculation:
DOS(E_F) = 0.578 states/eV/atom
Final energy = -6.55 eV/atom
Raw formation energy = -1.50 eV per atom

a = 5.451 Å, b = 5.451 Å, c = 9.352 Å
α = 90.00°, β = 90.00°, γ = 120.00°
Positions (direct):
Tm  0.333  0.667  0.250
Tm  0.667  0.333  0.750
Bi  0.000  0.000  0.000
Bi  0.000  0.000  0.500
Rh  0.333  0.667  0.750
Rh  0.667  0.333  0.250
O  0.029  0.365  0.630
O  0.029  0.664  0.870
O  0.336  0.365  0.870
O  0.336  0.971  0.630
O  0.365  0.029  0.130
O  0.365  0.336  0.370
O  0.635  0.664  0.630
O  0.635  0.971  0.870
O  0.664  0.029  0.370
O  0.664  0.635  0.130
O  0.971  0.336  0.130
O  0.971  0.635  0.370